## KMg6Ni (PBE)

Data for a geometry-optimized KMg6Ni structure.

```
KMg6Ni
1.0
3.061 -7.361 0.000
3.061 7.361 0.000
0.000 0.000 4.587
Mg Ni K
6 1 1
Direct
0.320 0.157 0.500
0.843 0.680 0.500
0.682 0.318 0.000
0.862 0.138 0.500
0.207 0.296 0.000
0.704 0.793 0.000
0.099 0.901 0.000
0.284 0.716 0.500
```

E_form   194 meV/atom
Polymorph energy (0 for the lowest one)   0.023 eV/atom
Total moment   0.00 μB per cell
Total energy   -14.9 eV for the cell shown
Density of states at the Fermi level   0.448 states/eV per atom